Record 1
The following is a PBE calculation of crystalline Al2RuSe at its relaxed geometry, from Alexandria via LeMat-Bulk.

a = 2.9723 Å, b = 2.9723 Å, c = 7.4537 Å
α = 90.00°, β = 90.00°, γ = 90.00°
Sites, in units of the cell vectors:
Al  0.0000  0.0000  0.0000
Al  0.5000  0.5000  0.2583
Ru  0.0000  0.0000  0.4727
Se  0.5000  0.5000  0.6823

## Properties
- Raw formation energy: -0.07 eV/atom
- VASP energy: -5.136 eV/atom


Record 2
The following is a PBE calculation of crystalline AlRu2Se at its relaxed geometry, from Alexandria via LeMat-Bulk.

a = 4.7537 Å, b = 4.7537 Å, c = 4.4385 Å
α = 104.59°, β = 104.59°, γ = 37.14°
Sites, in units of the cell vectors:
Al  0.0000  0.0000  0.0000
Ru  0.5023  0.5023  0.4973
Ru  0.7373  0.7373  0.0943
Se  0.2404  0.2404  0.6338

## Properties
- Distance to the lowest polymorph of the same formula: 0.089 eV per atom
- Raw formation energy: -0.13 eV/atom
- VASP energy: -6.574 eV/atom


Q: Among the records above, which one has the lowest VASP energy?
A: AlRu2Se


Q: Number 1 is which compound?
A: Al2RuSe